1.
Material: TlAg2AsF8
Method: DFT, GGA-PBE
State: optimized geometry

It has space group P-3m1 (No. 164), with a = 5.1439 Å, b = 5.1439 Å, c = 8.3777 Å, α = 90.00°, β = 90.00° and γ = 120.00°. Symmetry generates all atoms from Tl at (0.0000, 0.0000, 0.0000), Ag at (0.3333, 0.6667, 0.2051), As at (0.0000, 0.0000, 0.5000), F at (0.1603, 0.3206, 0.6252) and F at (0.3333, 0.6667, 0.9457).

The value obtained for the calculated density is 5.597 g/cm³. Its uncorrected formation energy is -1.613 eV/atom. The value obtained for the density of states at the Fermi level is 0.000 states/eV/cell. Its total energy is -47.04 eV per cell.

=====

2.
Material: AgAsXe2F10
Method: DFT, GGA-PBE
State: optimized geometry

It has space group I4/mcm (No. 140), with a = 8.7758 Å, b = 8.7758 Å, c = 12.7987 Å, α = 90.00°, β = 90.00° and γ = 90.00°. Symmetry generates all atoms from Ag at (0.0000, 0.5000, 0.0000), As at (0.0000, 0.0000, 0.0000), Xe at (0.2500, 0.2500, 0.2500), F at (0.0000, 0.0000, 0.1385), F at (0.0768, 0.1876, 0.0000) and F at (0.1167, 0.3833, 0.3531).

The value obtained for the calculated density is 4.281 g/cm³. Its uncorrected formation energy is -1.301 eV/atom. Its total energy is -177.99 eV per cell.

=====

3.
Material: FeAg2As
Method: DFT, GGA-PBE
State: optimized geometry

It has space group I-42d (No. 122), with a = 7.4580 Å, b = 7.4580 Å, c = 5.2154 Å, α = 90.00°, β = 90.00° and γ = 90.00°. Symmetry generates all atoms from Fe at (0.0000, 0.0000, 0.0000), Ag at (0.2466, 0.2500, 0.6250) and As at (0.0000, 0.0000, 0.5000).

The value obtained for the calculated density is 7.934 g/cm³. The calculation puts the energy of formation from the pure elements at 46 kJ/mol of atoms. The value obtained for the density of states at the Fermi level is 9.299 states/eV/cell. Its total energy is -67.59 eV per cell.

=====

4.
Material: FeAg2As
Method: DFT, GGA-PBE
State: optimized geometry

It has space group R3m (No. 160, hexagonal axes), with a = 2.9597 Å, b = 2.9597 Å, c = 26.3936 Å, α = 90.00°, β = 90.00° and γ = 120.00°. Symmetry generates all atoms from Fe at (0.0000, 0.0000, 0.0000), Ag at (0.0000, 0.0000, 0.5069), Ag at (0.0000, 0.0000, 0.7493) and As at (0.0000, 0.0000, 0.2711).

The value obtained for the calculated density is 8.621 g/cm³. The calculation puts the energy of formation from the pure elements at 17 kJ/mol of atoms. The value obtained for the density of states at the Fermi level is 3.644 states/eV/cell. Its total energy is -54.28 eV per cell.

=====

5.
Material: FeAg3As
Method: DFT, GGA-PBE
State: optimized geometry

It has space group Pm-3m (No. 221), with a = 4.8221 Å, b = 4.8221 Å, c = 4.8221 Å, α = 90.00°, β = 90.00° and γ = 90.00°. Symmetry generates all atoms from Fe at (0.0000, 0.0000, 0.0000), Ag at (0.0000, 0.0000, 0.5000) and As at (0.5000, 0.5000, 0.5000).

The value obtained for the calculated density is 6.729 g/cm³. The calculation puts the energy of formation from the pure elements at 102 kJ/mol of atoms. The value obtained for the density of states at the Fermi level is 4.349 states/eV/cell. For the energy above the most stable polymorph in this dataset, the calculation gives 14.7 kJ/mol of atoms. Its total energy is -16.40 eV per cell.

=====

6.
Material: Fe3AgAs
Method: DFT, GGA-PBE
State: optimized geometry

It has space group Pm-3m (No. 221), with a = 4.4157 Å, b = 4.4157 Å, c = 4.4157 Å, α = 90.00°, β = 90.00° and γ = 90.00°. Symmetry generates all atoms from Fe at (0.0000, 0.0000, 0.5000), Ag at (0.5000, 0.5000, 0.5000) and As at (0.0000, 0.0000, 0.0000).

The value obtained for the calculated density is 6.757 g/cm³. The calculation puts the energy of formation from the pure elements at 70 kJ/mol of atoms. The value obtained for the density of states at the Fermi level is 14.587 states/eV/cell. For the energy above the most stable polymorph in this dataset, the calculation gives 0.0 kJ/mol of atoms. Its total energy is -29.25 eV per cell.

=====

7.
Material: FeAgAs4
Method: DFT, GGA-PBE
State: optimized geometry

It has space group F-43m (No. 216), with a = 7.7738 Å, b = 7.7738 Å, c = 7.7738 Å, α = 90.00°, β = 90.00° and γ = 90.00°. Symmetry generates all atoms from Fe at (0.0000, 0.0000, 0.0000), Ag at (0.2500, 0.2500, 0.7500) and As at (0.1249, 0.1249, 0.3751).

The value obtained for the calculated density is 6.552 g/cm³. The calculation puts the energy of formation from the pure elements at 63 kJ/mol of atoms. The value obtained for the density of states at the Fermi level is 19.685 states/eV/cell. Its total energy is -103.92 eV per cell.

=====

8.
Material: FeAg2As
Method: DFT, GGA-PBE
State: optimized geometry

It has space group Pmmm (No. 47), with a = 3.8742 Å, b = 3.9429 Å, c = 4.3631 Å, α = 90.00°, β = 90.00° and γ = 90.00°. Symmetry generates all atoms from Fe at (0.0000, 0.0000, 0.0000), Ag at (0.0000, 0.5000, 0.5000), Ag at (0.5000, 0.0000, 0.5000) and As at (0.5000, 0.5000, 0.0000).

The value obtained for the calculated density is 8.633 g/cm³. The calculation puts the energy of formation from the pure elements at 29 kJ/mol of atoms. The value obtained for the density of states at the Fermi level is 2.936 states/eV/cell. Its total energy is -17.63 eV per cell.

=====

9.
Material: FeAg2As
Method: DFT, GGA-PBE
State: optimized geometry

It has space group Imm2 (No. 44), with a = 3.1957 Å, b = 4.6255 Å, c = 9.1654 Å, α = 90.00°, β = 90.00° and γ = 90.00°. Symmetry generates all atoms from Fe at (0.0000, 0.0000, 0.0000), Ag at (0.0000, 0.0000, 0.5307), Ag at (0.0000, 0.5000, 0.7507) and As at (0.0000, 0.5000, 0.3054).

The value obtained for the calculated density is 8.494 g/cm³. The calculation puts the energy of formation from the pure elements at 29 kJ/mol of atoms. The value obtained for the density of states at the Fermi level is 6.373 states/eV/cell. Its total energy is -35.22 eV per cell.

=====

10.
Material: Fe2Ag2As
Method: DFT, GGA-PBE
State: optimized geometry

It has space group P4/mbm (No. 127), with a = 5.9932 Å, b = 5.9932 Å, c = 4.3886 Å, α = 90.00°, β = 90.00° and γ = 90.00°. Symmetry generates all atoms from Fe at (0.1353, 0.3647, 0.0000), Ag at (0.1669, 0.6669, 0.5000) and As at (0.0000, 0.0000, 0.0000).

The value obtained for the calculated density is 8.477 g/cm³. The calculation puts the energy of formation from the pure elements at 24 kJ/mol of atoms. The value obtained for the density of states at the Fermi level is 10.276 states/eV/cell. Its total energy is -52.04 eV per cell.

=====

11.
Material: FeAgAs
Method: DFT, GGA-PBE
State: optimized geometry

It has space group Fmm2 (No. 42), with a = 3.7364 Å, b = 4.2345 Å, c = 12.5898 Å, α = 90.00°, β = 90.00° and γ = 90.00°. Symmetry generates all atoms from Fe at (0.0000, 0.0000, 0.0000), Ag at (0.0000, 0.0000, 0.6595) and As at (0.0000, 0.0000, 0.3699).

The value obtained for the calculated density is 7.957 g/cm³. The calculation puts the energy of formation from the pure elements at 25 kJ/mol of atoms. The value obtained for the density of states at the Fermi level is 11.778 states/eV/cell. For the energy above the most stable polymorph in this dataset, the calculation gives 24.5 kJ/mol of atoms. Its total energy is -60.78 eV per cell.

=====

12.
Material: Fe3AgAs
Method: DFT, GGA-PBE
State: optimized geometry

It has space group Pm-3m (No. 221), with a = 4.6860 Å, b = 4.6860 Å, c = 4.6860 Å, α = 90.00°, β = 90.00° and γ = 90.00°. Symmetry generates all atoms from Fe at (0.0000, 0.0000, 0.5000), Ag at (0.0000, 0.0000, 0.0000) and As at (0.5000, 0.5000, 0.5000).

The value obtained for the calculated density is 5.654 g/cm³. The calculation puts the energy of formation from the pure elements at 146 kJ/mol of atoms. The value obtained for the density of states at the Fermi level is 8.218 states/eV/cell. For the energy above the most stable polymorph in this dataset, the calculation gives 76.0 kJ/mol of atoms. Its total energy is -25.31 eV per cell.

=====

13.
Material: FeAg2As
Method: DFT, GGA-PBE
State: optimized geometry

It has space group Pmmm (No. 47), with a = 2.9534 Å, b = 4.1458 Å, c = 5.5102 Å, α = 90.00°, β = 90.00° and γ = 90.00°. Symmetry generates all atoms from Fe at (0.0000, 0.0000, 0.0000), Ag at (0.5000, 0.5000, 0.2430) and As at (0.0000, 0.0000, 0.5000).

The value obtained for the calculated density is 8.528 g/cm³. The calculation puts the energy of formation from the pure elements at 33 kJ/mol of atoms. The value obtained for the density of states at the Fermi level is 3.264 states/eV/cell. Its total energy is -17.43 eV per cell.

=====

14.
Material: Fe4AgAs
Method: DFT, GGA-PBE
State: optimized geometry

It has space group F-43m (No. 216), with a = 6.9065 Å, b = 6.9065 Å, c = 6.9065 Å, α = 90.00°, β = 90.00° and γ = 90.00°. Symmetry generates all atoms from Fe at (0.1249, 0.1249, 0.1249), Ag at (0.2500, 0.2500, 0.7500) and As at (0.0000, 0.0000, 0.5000).

The value obtained for the calculated density is 8.189 g/cm³. The calculation puts the energy of formation from the pure elements at 33 kJ/mol of atoms. The value obtained for the density of states at the Fermi level is 18.412 states/eV/cell. Its total energy is -157.26 eV per cell.

=====

15.
Material: FeAg2As
Method: DFT, GGA-PBE
State: optimized geometry

It has space group Cmmm (No. 65), with a = 5.3670 Å, b = 8.7310 Å, c = 2.8761 Å, α = 90.00°, β = 90.00° and γ = 90.00°. Symmetry generates all atoms from Fe at (0.0000, 0.0000, 0.0000), Ag at (0.2500, 0.2500, 0.5000) and As at (0.0000, 0.5000, 0.0000).

The value obtained for the calculated density is 8.539 g/cm³. The calculation puts the energy of formation from the pure elements at 35 kJ/mol of atoms. The value obtained for the density of states at the Fermi level is 5.855 states/eV/cell. Its total energy is -34.71 eV per cell.

=====

16.
Material: FeAg2As
Method: DFT, GGA-PBE
State: optimized geometry

It has space group Cm (No. 8), with a = 8.1498 Å, b = 3.0032 Å, c = 5.7905 Å, α = 90.00°, β = 100.73° and γ = 90.00°. Symmetry generates all atoms from Fe at (0.0000, 0.0000, 0.0000), Ag at (0.2568, 0.0000, 0.6980), Ag at (0.4953, 0.0000, 0.4185) and As at (0.2250, 0.5000, 0.0994).

The value obtained for the calculated density is 8.264 g/cm³. The calculation puts the energy of formation from the pure elements at 26 kJ/mol of atoms. The value obtained for the density of states at the Fermi level is 4.896 states/eV/cell. Its total energy is -35.47 eV per cell.

=====

17.
Material: FeAg2As
Method: DFT, GGA-PBE
State: optimized geometry

It has space group I-4m2 (No. 119), with a = 4.2064 Å, b = 4.2064 Å, c = 7.5420 Å, α = 90.00°, β = 90.00° and γ = 90.00°. Symmetry generates all atoms from Fe at (0.0000, 0.0000, 0.0000), Ag at (0.0000, 0.0000, 0.5000), Ag at (0.0000, 0.5000, 0.7500) and As at (0.0000, 0.5000, 0.2500).

The value obtained for the calculated density is 8.623 g/cm³. The calculation puts the energy of formation from the pure elements at 34 kJ/mol of atoms. The value obtained for the density of states at the Fermi level is 7.650 states/eV/cell. Its total energy is -34.84 eV per cell.

=====

18.
Material: FeAgAs
Method: DFT, GGA-PBE
State: optimized geometry

It has space group F-43m (No. 216), with a = 5.9557 Å, b = 5.9557 Å, c = 5.9557 Å, α = 90.00°, β = 90.00° and γ = 90.00°. Symmetry generates all atoms from Fe at (0.0000, 0.0000, 0.0000), Ag at (0.2500, 0.2500, 0.7500) and As at (0.2500, 0.2500, 0.2500).

The value obtained for the calculated density is 7.503 g/cm³. The calculation puts the energy of formation from the pure elements at 29 kJ/mol of atoms. The value obtained for the density of states at the Fermi level is 14.744 states/eV/cell. For the energy above the most stable polymorph in this dataset, the calculation gives 28.4 kJ/mol of atoms. Its total energy is -60.29 eV per cell.

=====

19.
Material: FeAg2As
Method: DFT, GGA-PBE
State: optimized geometry

It has space group P4/mmm (No. 123), with a = 2.8134 Å, b = 2.8134 Å, c = 8.6035 Å, α = 90.00°, β = 90.00° and γ = 90.00°. Symmetry generates all atoms from Fe at (0.0000, 0.0000, 0.0000), Ag at (0.5000, 0.5000, 0.2294) and As at (0.0000, 0.0000, 0.5000).

The value obtained for the calculated density is 8.449 g/cm³. The calculation puts the energy of formation from the pure elements at 31 kJ/mol of atoms. The value obtained for the density of states at the Fermi level is 2.769 states/eV/cell. Its total energy is -17.53 eV per cell.

=====

20.
Material: FeAgAs
Method: DFT, GGA-PBE
State: optimized geometry

It has space group P3m1 (No. 156), with a = 2.9643 Å, b = 2.9643 Å, c = 6.4186 Å, α = 90.00°, β = 90.00° and γ = 120.00°. Symmetry generates all atoms from Fe at (0.0000, 0.0000, 0.0000), Ag at (0.3333, 0.6667, 0.3402) and As at (0.6667, 0.3333, 0.7425).

The value obtained for the calculated density is 8.113 g/cm³. The calculation puts the energy of formation from the pure elements at 21 kJ/mol of atoms. The value obtained for the density of states at the Fermi level is 1.267 states/eV/cell. For the energy above the most stable polymorph in this dataset, the calculation gives 20.3 kJ/mol of atoms. Its total energy is -15.33 eV per cell.